! NdMg2Ga2Cu, optimized geometry, DFT PBE-GGA; values from VASP
! * calculated volume: 24.15 A^3/atom
! * ΔE_f: 0.086 eV/atom
! * space group: I4/mmm (139)
&SYSTEM
  ibrav = 0, nat = 6, ntyp = 4
/
ATOMIC_SPECIES
Nd 144.24 Nd.upf
Cu 63.55 Cu.upf
Mg 24.30 Mg.upf
Ga 69.72 Ga.upf
ATOMIC_POSITIONS crystal
Nd 0.5000 0.5000 0.0000
Cu 0.0000 0.0000 0.0000
Mg 0.2500 0.7500 0.5000
Ga 0.7917 0.7917 0.5835
Ga 0.2083 0.2083 0.4165
Mg 0.7500 0.2500 0.5000
CELL_PARAMETERS angstrom
-5.0492 -0.0248 0.9651
-0.5836 -4.0153 -3.1565
3.6366 -1.4034 5.2989